# NpCo3O8 PBE with a Hubbard U relaxed
# symmetry = P-1 (2)
# crystal system = triclinic
# final energy = -0.258 hartree per atom
data_NpCo3O8
_symmetry_space_group_name_H-M 'P 1'
_symmetry_Int_Tables_number 1
_symmetry_space_group_name_Hall 'P 1'
_cell_length_a 5.9322
_cell_length_b 6.0306
_cell_length_c 6.0929
_cell_angle_alpha 116.98
_cell_angle_beta 118.57
_cell_angle_gamma 91.44
loop_
_atom_site_label
_atom_site_fract_x
_atom_site_fract_y
_atom_site_fract_z
_atom_site_occupancy
Np1 0.0000 0.0000 0.0000 1
Co1 0.0000 0.5000 0.5000 1
Co2 0.5000 0.0000 0.0000 1
Co3 0.5000 0.5000 0.5000 1
O1 0.2243 0.2292 0.9959 1
O2 0.2325 0.2899 0.4736 1
O3 0.2603 0.7926 0.0066 1
O4 0.2987 0.7383 0.5843 1
O5 0.7013 0.2617 0.4157 1
O6 0.7397 0.2074 0.9934 1
O7 0.7675 0.7101 0.5264 1
O8 0.7757 0.7708 0.0041 1